No. 1
16
Lattice="-3.4584 -1.9486 -5.7809 -4.0356 -4.2527 3.8478 -4.5749 5.2244 0.9760" Properties=species:S:1:pos:R:3 comment="NaH | Alexandria via LeMat-Bulk | PBE | optimized geometry" de_polymorph_kj_per_mol_atoms=6.8 crystal_system=cubic pbc="T T T"
Na -4.0583 -0.3285 -0.3219
Na -6.8781 -0.0103 1.2578
Na -6.5124 -2.3593 -0.9549
Na -4.6902 -3.0200 2.4310
Na -5.0529 3.3535 0.4996
Na -6.6891 0.7443 -1.8954
Na -10.0928 -0.8170 -0.8004
Na -4.3020 -1.4704 -4.0445
H -7.3891 2.0625 -3.4104
H -7.7802 0.5010 3.1147
H -5.5640 1.3529 -0.0097
H -5.2041 -0.9591 -2.1877
H -7.9795 -0.6459 -0.6328
H -1.9451 -0.1574 -0.1543
H -5.3902 -1.7018 0.9159
H -7.0236 -4.3599 -1.4643

=====

No. 2
2
Lattice="3.3911 0.0000 0.0000 1.6955 2.9368 0.0000 1.6955 0.9789 2.7688" Properties=species:S:1:pos:R:3 comment="NaH | Alexandria via LeMat-Bulk | PBE | optimized geometry" de_polymorph_kj_per_mol_atoms=0.0 crystal_system=cubic pbc="T T T"
Na 0.0000 0.0000 0.0000
H 3.3911 1.9578 1.3844

=====

No. 3
4
Lattice="-2.5694 2.0932 0.0569 -0.5185 -3.2667 0.2155 0.3910 0.3219 5.8209" Properties=species:S:1:pos:R:3 comment="NaH | Alexandria via LeMat-Bulk | PBE | optimized geometry" de_polymorph_kj_per_mol_atoms=4.3 crystal_system=hexagonal pbc="T T T"
H -1.1044 -1.3996 1.6178
H -1.5925 0.5479 4.4754
Na 0.1955 0.1609 2.9104
Na 0.0000 0.0000 0.0000

=====

No. 4
2
Lattice="-0.4386 0.1468 2.9039 -1.1417 -2.7096 -0.0355 2.6741 -1.1328 0.4611" Properties=species:S:1:pos:R:3 comment="NaH | Alexandria via LeMat-Bulk | PBE | optimized geometry" de_polymorph_kj_per_mol_atoms=15.2 crystal_system=cubic pbc="T T T"
Na 0.0000 0.0000 0.0000
H 0.5469 -1.8478 1.6648

=====

No. 5
4
Lattice="3.9832 -0.0022 -0.0116 0.0401 4.4704 0.0232 0.1259 2.1515 5.5094" Properties=species:S:1:pos:R:3 comment="NaH | Alexandria via LeMat-Bulk | PBE | optimized geometry" de_polymorph_kj_per_mol_atoms=30.4 crystal_system=triclinic pbc="T T T"
Na 3.0360 4.4348 1.7507
Na 1.1133 2.1850 3.7703
H 3.8690 4.4073 5.2263
H 0.2803 2.2124 0.2947

=====

No. 6
8
Lattice="-4.4540 0.5785 -0.3054 -0.6391 -3.8822 1.9684 -0.2456 0.8635 5.2189" Properties=species:S:1:pos:R:3 comment="NaH3 | Alexandria via LeMat-Bulk | PBE | optimized geometry" de_polymorph_kj_per_mol_atoms=0.0 crystal_system=monoclinic pbc="T T T"
H -1.3962 -0.3125 3.1815
H -1.8586 -2.1837 6.3807
H -3.4802 -0.2565 0.5013
H -1.5267 -2.3058 1.3083
H -3.9426 -2.1276 3.7004
H -3.8121 -0.1344 5.5737
Na -1.7145 -2.4447 3.7855
Na -3.6242 0.0045 3.0964